No. 1
Compound: ScBeRu2C
Source: the Alexandria database
Functional: SCAN
Structure: PBEsol geometry

Computed properties:
- crystal system = tetragonal
- energy (eV per atom) = -17.4330

Unit cell a=3.949 b=4.581 c=4.581 alpha=90.00 beta=90.00 gamma=90.00
Positions (direct):
Sc1 0.000 0.000 0.000
Ru1 0.000 0.000 0.500
Ru2 0.000 0.500 0.000
C1 0.500 0.000 0.000
Be1 0.500 0.500 0.500

=====

No. 2
Compound: BeC3S
Source: the Alexandria database
Functional: SCAN
Structure: PBEsol geometry

Computed properties:
- crystal system = cubic
- formation energy (no corrections) (eV per atom) = 2.701

Unit cell a=3.527 b=3.527 c=3.527 alpha=90.00 beta=90.00 gamma=90.00
Positions (direct):
Be1 0.500 0.500 0.500
S1 0.000 0.000 0.000
C1 0.000 0.500 0.000
C2 0.000 0.000 0.500
C3 0.500 0.000 0.000

=====

No. 3
Compound: BeCSeS2
Source: the Alexandria database
Functional: SCAN
Structure: PBEsol geometry

Computed properties:
- crystal system = tetragonal
- formation energy (no corrections) (eV per atom) = 1.538

Unit cell a=3.790 b=3.790 c=6.808 alpha=90.00 beta=90.00 gamma=90.00
Site moments in Bohr magnetons follow the coordinates.
Positions (direct):
Be1 0.000 0.000 0.000  0.00
S1 0.000 0.500 0.000  -0.01
S2 0.500 0.000 0.000  -0.01
C1 0.500 0.500 0.500  0.55
Se1 0.000 0.000 0.500  -0.49

=====

What did we get for ρ? Answer: 5.372; 2.919; 2.786 g/cm³, in the order shown.